Entry 1:
# BWS2Cl PBE optimized geometry
# Fermi-level density of states in states/eV/atom: 0.64
# Total moment in μB/f.u.: 0.00
# Raw formation energy in eV/atom: 0.8732
# V in Å³/f.u.: 106
data_BWS2Cl
_chemical_formula_sum 'B1 W1 S2 Cl1'
_cell_length_a 4.663
_cell_length_b 4.663
_cell_length_c 4.869
_cell_angle_alpha 90.00
_cell_angle_beta 90.00
_cell_angle_gamma 90.00
_symmetry_space_group_name_H-M 'P 4/m m m'
_symmetry_Int_Tables_number 123
_symmetry_space_group_name_Hall '-P 4 2'
loop_
_atom_site_label
_atom_site_fract_x
_atom_site_fract_y
_atom_site_fract_z
_atom_site_occupancy
B1 0.000 0.000 0.000 1
W1 0.500 0.500 0.500 1
S1 0.000 0.500 0.500 1
Cl1 0.500 0.500 0.000 1

=====

Entry 2:
# Cd4InAg3 PBE optimized geometry
# Fermi-level density of states in states/eV/atom: 0.36
# Calculated formation energy in meV/atom: 65
# Total moment in μB/f.u.: 0.00
# V in Å³/f.u.: 172
data_Cd4InAg3
_chemical_formula_sum 'Cd8 In2 Ag6'
_cell_length_a 2.995
_cell_length_b 5.833
_cell_length_c 19.641
_cell_angle_alpha 90.00
_cell_angle_beta 90.00
_cell_angle_gamma 90.00
_symmetry_space_group_name_H-M 'I m m m'
_symmetry_Int_Tables_number 71
_symmetry_space_group_name_Hall '-I 2 2'
loop_
_atom_site_label
_atom_site_fract_x
_atom_site_fract_y
_atom_site_fract_z
_atom_site_occupancy
Cd1 0.000 0.243 0.131 1
In1 0.000 0.500 0.000 1
Ag1 0.000 0.000 0.261 1
Ag2 0.000 0.500 0.500 1

=====

Entry 3:
# CaPmIrRh PBE optimized geometry
# Fermi-level density of states in states/eV/atom: 0.59
# Calculated formation energy in meV/atom: -465
# Total moment in μB/f.u.: 0.00
# V in Å³/f.u.: 83
data_CaPmIrRh
_chemical_formula_sum 'Ca4 Pm4 Ir4 Rh4'
_cell_length_a 6.932
_cell_length_b 6.932
_cell_length_c 6.932
_cell_angle_alpha 90.00
_cell_angle_beta 90.00
_cell_angle_gamma 90.00
_symmetry_space_group_name_H-M 'F -4 3 m'
_symmetry_Int_Tables_number 216
_symmetry_space_group_name_Hall 'F -4 2 3'
loop_
_atom_site_label
_atom_site_fract_x
_atom_site_fract_y
_atom_site_fract_z
_atom_site_occupancy
Ca1 0.000 0.000 0.000 1
Pm1 0.000 0.000 0.500 1
Ir1 0.250 0.250 0.250 1
Rh1 0.250 0.250 0.750 1

=====

Entry 4:
# LiMn2Os PBE optimized geometry
# Fermi-level density of states in states/eV/atom: 1.27
# Calculated formation energy in meV/atom: 290
# Total moment in μB/f.u.: 0.18
# V in Å³/f.u.: 53
data_LiMn2Os
_chemical_formula_sum 'Li2 Mn4 Os2'
_cell_length_a 2.870
_cell_length_b 4.301
_cell_length_c 8.587
_cell_angle_alpha 90.00
_cell_angle_beta 90.00
_cell_angle_gamma 90.00
_symmetry_space_group_name_H-M 'C m m 2'
_symmetry_Int_Tables_number 35
loop_
_symmetry_equiv_pos_as_xyz
'x,y,z'
'-x,-y,z'
'-x,y,z'
'x,-y,z'
'x+1/2,y+1/2,z'
'-x+1/2,-y+1/2,z'
'-x+1/2,y+1/2,z'
'x+1/2,-y+1/2,z'
loop_
_atom_site_label
_atom_site_fract_x
_atom_site_fract_y
_atom_site_fract_z
_atom_site_occupancy
Li1 0.000 0.000 0.000 1
Mn1 0.000 0.000 0.510 1
Mn2 0.000 0.500 0.730 1
Os1 0.000 0.500 0.263 1

=====

Entry 5:
# Tb2Ce3Os2 PBE optimized geometry
# Fermi-level density of states in states/eV/atom: 1.89
# Calculated formation energy in meV/atom: -170
# Total moment in μB/f.u.: 0.90
# V in Å³/f.u.: 179
data_Tb2Ce3Os2
_chemical_formula_sum 'Tb4 Ce6 Os4'
_cell_length_a 11.540
_cell_length_b 3.938
_cell_length_c 8.696
_cell_angle_alpha 90.00
_cell_angle_beta 115.10
_cell_angle_gamma 90.00
_symmetry_space_group_name_H-M 'C 1 2/m 1'
_symmetry_Int_Tables_number 12
loop_
_symmetry_equiv_pos_as_xyz
'x,y,z'
'-x,-y,-z'
'-x,y,-z'
'x,-y,z'
'x+1/2,y+1/2,z'
'-x+1/2,-y+1/2,-z'
'-x+1/2,y+1/2,-z'
'x+1/2,-y+1/2,z'
loop_
_atom_site_label
_atom_site_fract_x
_atom_site_fract_y
_atom_site_fract_z
_atom_site_occupancy
Tb1 0.163 0.000 0.312 1
Ce1 0.000 0.500 0.500 1
Ce2 0.114 0.500 0.933 1
Os1 0.165 0.000 0.737 1

=====

Entry 6:
# ZrP2Br PBE optimized geometry
# Fermi-level density of states in states/eV/atom: 0.31
# Total moment in μB/f.u.: 0.00
# Raw formation energy in eV/atom: -0.4495
# V in Å³/f.u.: 112
data_ZrP2Br
_chemical_formula_sum 'Zr2 P4 Br2'
_cell_length_a 3.306
_cell_length_b 4.939
_cell_length_c 13.723
_cell_angle_alpha 90.00
_cell_angle_beta 90.00
_cell_angle_gamma 90.00
_symmetry_space_group_name_H-M 'I m m 2'
_symmetry_Int_Tables_number 44
loop_
_symmetry_equiv_pos_as_xyz
'x,y,z'
'-x,-y,z'
'-x,y,z'
'x,-y,z'
'x+1/2,y+1/2,z+1/2'
'-x+1/2,-y+1/2,z+1/2'
'-x+1/2,y+1/2,z+1/2'
'x+1/2,-y+1/2,z+1/2'
loop_
_atom_site_label
_atom_site_fract_x
_atom_site_fract_y
_atom_site_fract_z
_atom_site_occupancy
Zr1 0.000 0.000 0.000 1
P1 0.000 0.000 0.439 1
P2 0.000 0.500 0.052 1
Br1 0.000 0.500 0.659 1

=====

Entry 7:
# LiLaSiPd6 PBE optimized geometry
# Fermi-level density of states in states/eV/atom: 0.34
# Total moment in μB/f.u.: 0.00
# Raw formation energy in eV/atom: -0.4282
# V in Å³/f.u.: 166
data_LiLaSiPd6
_chemical_formula_sum 'Li4 La4 Si4 Pd24'
_cell_length_a 5.793
_cell_length_b 9.346
_cell_length_c 12.260
_cell_angle_alpha 90.00
_cell_angle_beta 90.00
_cell_angle_gamma 90.00
_symmetry_space_group_name_H-M 'I m m a'
_symmetry_Int_Tables_number 74
_symmetry_space_group_name_Hall '-I 2b 2'
loop_
_atom_site_label
_atom_site_fract_x
_atom_site_fract_y
_atom_site_fract_z
_atom_site_occupancy
Li1 0.250 0.250 0.250 1
La1 0.000 0.250 0.664 1
Si1 0.000 0.000 0.000 1
Pd1 0.000 0.250 0.442 1
Pd2 0.000 0.250 0.936 1
Pd3 0.239 0.015 0.361 1

=====

Entry 8:
# Na2CdGa PBE optimized geometry
# Fermi-level density of states in states/eV/atom: 0.31
# Calculated formation energy in meV/atom: -59
# Total moment in μB/f.u.: 0.00
# V in Å³/f.u.: 105
data_Na2CdGa
_chemical_formula_sum 'Na8 Cd4 Ga4'
_cell_length_a 11.376
_cell_length_b 4.615
_cell_length_c 9.271
_cell_angle_alpha 90.00
_cell_angle_beta 120.23
_cell_angle_gamma 90.00
_symmetry_space_group_name_H-M 'C 1 m 1'
_symmetry_Int_Tables_number 8
loop_
_symmetry_equiv_pos_as_xyz
'x,y,z'
'x,-y,z'
'x+1/2,y+1/2,z'
'x+1/2,-y+1/2,z'
loop_
_atom_site_label
_atom_site_fract_x
_atom_site_fract_y
_atom_site_fract_z
_atom_site_occupancy
Na1 0.000 0.000 0.000 1
Na2 0.001 0.000 0.497 1
Na3 0.124 0.500 0.324 1
Na4 0.382 0.000 0.674 1
Cd1 0.193 0.500 0.714 1
Cd2 0.311 0.000 0.279 1
Ga1 0.229 0.500 0.058 1
Ga2 0.268 0.000 0.933 1

=====

Entry 9:
# CeBeN2 PBE optimized geometry
# Total moment in μB/f.u.: 0.00
# Raw formation energy in eV/atom: -1.1008
# V in Å³/f.u.: 62
data_CeBeN2
_chemical_formula_sum 'Ce3 Be3 N6'
_cell_length_a 3.7034
_cell_length_b 3.7034
_cell_length_c 15.5379
_cell_angle_alpha 90.00
_cell_angle_beta 90.00
_cell_angle_gamma 120.00
_symmetry_space_group_name_H-M 'R -3 m'
_symmetry_Int_Tables_number 166
_symmetry_space_group_name_Hall '-R 3 2"'
loop_
_atom_site_label
_atom_site_fract_x
_atom_site_fract_y
_atom_site_fract_z
_atom_site_occupancy
Ce1 0.0000 0.0000 0.0000 1
Be1 0.0000 0.0000 0.5000 1
N1 0.0000 0.0000 0.4015 1

=====

Entry 10:
# AcMnTe3 PBE optimized geometry
# Fermi-level density of states in states/eV/atom: 0.32
# Total moment in μB/f.u.: 4.03
# Raw formation energy in eV/atom: -0.8352
# V in Å³/f.u.: 158
data_AcMnTe3
_chemical_formula_sum 'Ac2 Mn2 Te6'
_cell_length_a 7.917
_cell_length_b 4.427
_cell_length_c 9.071
_cell_angle_alpha 90.00
_cell_angle_beta 95.03
_cell_angle_gamma 90.00
_symmetry_space_group_name_H-M 'P 1 21/m 1'
_symmetry_Int_Tables_number 11
loop_
_symmetry_equiv_pos_as_xyz
'x,y,z'
'-x,-y,-z'
'-x,y+1/2,-z'
'x,-y+1/2,z'
loop_
_atom_site_label
_atom_site_fract_x
_atom_site_fract_y
_atom_site_fract_z
_atom_site_occupancy
Ac1 0.136 0.250 0.294 1
Mn1 0.345 0.750 0.849 1
Te1 0.127 0.250 0.910 1
Te2 0.243 0.750 0.557 1
Te3 0.418 0.750 0.154 1

=====

Entry 11:
# YIrRuPb PBE optimized geometry
# Fermi-level density of states in states/eV/atom: 0.79
# Calculated formation energy in meV/atom: -48
# Total moment in μB/f.u.: 0.00
# V in Å³/f.u.: 77
data_YIrRuPb
_chemical_formula_sum 'Y2 Ir2 Ru2 Pb2'
_cell_length_a 4.058
_cell_length_b 4.058
_cell_length_c 9.311
_cell_angle_alpha 90.00
_cell_angle_beta 90.00
_cell_angle_gamma 90.00
_symmetry_space_group_name_H-M 'I -4 m 2'
_symmetry_Int_Tables_number 119
_symmetry_space_group_name_Hall 'I -4 -2'
loop_
_atom_site_label
_atom_site_fract_x
_atom_site_fract_y
_atom_site_fract_z
_atom_site_occupancy
Y1 0.000 0.000 0.000 1
Ir1 0.000 0.500 0.250 1
Ru1 0.000 0.000 0.500 1
Pb1 0.000 0.500 0.750 1

=====

Entry 12:
# Er2GeOs PBE optimized geometry
# Fermi-level density of states in states/eV/atom: 0.54
# Calculated formation energy in meV/atom: -466
# Total moment in μB/f.u.: 0.00
# V in Å³/f.u.: 83
data_Er2GeOs
_chemical_formula_sum 'Er2 Ge1 Os1'
_cell_length_a 3.453
_cell_length_b 3.453
_cell_length_c 6.976
_cell_angle_alpha 90.00
_cell_angle_beta 90.00
_cell_angle_gamma 90.00
_symmetry_space_group_name_H-M 'P 4/m m m'
_symmetry_Int_Tables_number 123
_symmetry_space_group_name_Hall '-P 4 2'
loop_
_atom_site_label
_atom_site_fract_x
_atom_site_fract_y
_atom_site_fract_z
_atom_site_occupancy
Er1 0.000 0.000 0.234 1
Ge1 0.500 0.500 0.500 1
Os1 0.500 0.500 0.000 1